Crystalline KCoI2O at its relaxed geometry. Source: Alexandria via LeMat-Bulk, functional GGA+U.

Unit cell a=6.1942 b=6.1942 c=3.6259 alpha=90.00 beta=90.00 gamma=90.00
With the nearest neighbours (Å) after each atom.
Space group P4/mmm (No. 123)
One atom of each set of equivalent atoms:
K: 0.0000 0.0000 0.0000  8 I 3.59, 2 K 3.63
Co: 0.5000 0.5000 0.5000  2 O 1.81
I: 0.0000 0.5000 0.5000  2 Co 3.10
O: 0.5000 0.5000 0.0000  2 Co 1.81

Values from the calculation:
Spin magnetization in μB/f.u.: 3.62
Electronic total energy in eV/atom: -3.5502